Material: MnV2O6
Method: DFT, PBE with a Hubbard U
State: relaxed

## Properties
Crystal system = monoclinic
Symmetry = C2/c, No. 15
Raw total energy = -7.66 eV per atom
Density of states at the Fermi level = 0.000 states/eV/f.u.

Geometry as CIF:
```
data_MnV2O6
_symmetry_space_group_name_H-M 'P 1'
_symmetry_Int_Tables_number 1
_cell_length_a 6.9734
_cell_length_b 6.9734
_cell_length_c 5.9566
_cell_angle_alpha 105.38
_cell_angle_beta 105.38
_cell_angle_gamma 84.23
loop_
_symmetry_equiv_pos_as_xyz
'x,y,z'
loop_
_atom_site_label
_atom_site_type_symbol
_atom_site_fract_x
_atom_site_fract_y
_atom_site_fract_z
_atom_site_occupancy
Mn1 Mn 0.0905 0.9095 0.7500 1
Mn2 Mn 0.9095 0.0905 0.2500 1
V1 V 0.2110 0.3852 0.7537 1
V2 V 0.3852 0.2110 0.2537 1
V3 V 0.6148 0.7890 0.7463 1
V4 V 0.7890 0.6148 0.2463 1
O1 O 0.0460 0.1948 0.6378 1
O2 O 0.0945 0.6093 0.7746 1
O3 O 0.1948 0.0460 0.1378 1
O4 O 0.3530 0.3667 0.0479 1
O5 O 0.3667 0.3530 0.5479 1
O6 O 0.3907 0.9055 0.7254 1
O7 O 0.6093 0.0945 0.2746 1
O8 O 0.6333 0.6470 0.4521 1
O9 O 0.6470 0.6333 0.9521 1
O10 O 0.8052 0.9540 0.8622 1
O11 O 0.9055 0.3907 0.2254 1
O12 O 0.9540 0.8052 0.3622 1
```